# LaSbS2 PBE-GGA optimized geometry
# magnetization: 0.000 Bohr magnetons per cell
# formation energy (no corrections): -3.3 eV/f.u.
data_LaSbS2
_symmetry_space_group_name_H-M 'P 1'
_symmetry_Int_Tables_number 1
_cell_length_a 9.308
_cell_length_b 9.308
_cell_length_c 9.308
_cell_angle_alpha 147.31
_cell_angle_beta 147.31
_cell_angle_gamma 46.91
loop_
_symmetry_equiv_pos_as_xyz
'x,y,z'
loop_
_atom_site_label
_atom_site_type_symbol
_atom_site_fract_x
_atom_site_fract_y
_atom_site_fract_z
La1 La 0.000 0.000 0.000
La2 La 0.750 0.250 0.500
Sb1 Sb 0.250 0.750 0.500
Sb2 Sb 0.500 0.500 0.000
S1 S 0.134 0.625 0.009
S2 S 0.375 0.384 0.509
S3 S 0.616 0.125 0.991
S4 S 0.875 0.866 0.491